YErZnCo2 | PBE | optimized geometry

```
YErZnCo2
1.0
-2.0298 2.7282 4.0700
2.0298 -2.7282 4.0700
2.0298 2.7282 -4.0700
Y Er Zn Co
1 1 1 2
Direct
0.0000 0.0000 0.0000
0.5826 0.5826 0.0000
0.2914 0.7914 0.5000
0.0001 0.2900 0.7101
0.5799 0.2900 0.2899
```

Summary:
- E: -5.61 eV per atom
- Magnetic moment: 0.01 μB per atom
- SG: No. 44
- Energy relative to the elements: -306 meV/atom
- Density: 8094 kg/m3